TmTa4Ag3O12: optimized geometry, GGA-PBE.

Cell and atoms, written as POSCAR:
```
TmTa4Ag3O12
1.0
-3.9240 3.9240 3.9240
3.9240 -3.9240 3.9240
3.9240 3.9240 -3.9240
Tm Ta Ag O
1 4 3 12
direct
0.0000 0.0000 0.0000
0.0000 0.0000 0.5000
0.0000 0.5000 0.0000
0.5000 0.0000 0.0000
0.5000 0.5000 0.5000
0.0000 0.5000 0.5000
0.5000 0.0000 0.5000
0.5000 0.5000 0.0000
0.0669 0.2696 0.7974
0.2026 0.4722 0.2696
0.2026 0.9331 0.7304
0.2696 0.2026 0.4722
0.2696 0.7974 0.0669
0.4722 0.2696 0.2026
0.5278 0.7304 0.7974
0.7304 0.2026 0.9331
0.7304 0.7974 0.5278
0.7974 0.0669 0.2696
0.7974 0.5278 0.7304
0.9331 0.7304 0.2026
```

Output
The energy comes out at -8.179 eV per atom. Its space group is Im-3. The magnetic moment is 0.00 μB per formula unit.


La2CuSi4Pt: optimized geometry, GGA-PBE.

Cell and atoms, written as POSCAR:
```
La2CuSi4Pt
1.0
4.2015 0.0000 0.0000
0.0000 2.1591 8.4883
0.0000 -2.1591 8.4883
La Cu Si Pt
2 1 4 1
direct
0.0000 0.0000 0.0000
0.5000 0.2104 0.2104
0.0000 0.7777 0.7777
0.0000 0.3486 0.3486
0.0000 0.6375 0.6375
0.5000 0.5646 0.5646
0.5000 0.8512 0.8512
0.5000 0.4205 0.4205
```

Output
The energy comes out at -5.990 eV per atom. Its space group is Amm2. The magnetic moment is 0.00 μB per formula unit.


BaAcDy: optimized geometry, GGA-PBE.

Cell and atoms, written as POSCAR:
```
BaAcDy
1.0
0.0000 4.2754 4.2754
4.2754 0.0000 4.2754
4.2754 4.2754 0.0000
Ba Ac Dy
1 1 1
direct
0.0000 0.0000 0.0000
0.5000 0.5000 0.5000
0.7500 0.7500 0.7500
```

Output
The energy comes out at -2.858 eV per atom. The value obtained for the relative energy among the computed polymorphs is 0.00 kcal/mol of atoms. Its space group is F-43m. The magnetic moment is 0.05 μB per formula unit.


CdInGa2: optimized geometry, GGA-PBE.

Cell and atoms, written as POSCAR:
```
CdInGa2
1.0
0.0000 3.5420 3.5420
3.5420 0.0000 3.5420
3.5420 3.5420 0.0000
Cd In Ga
1 1 2
direct
0.0000 0.0000 0.0000
0.7500 0.7500 0.7500
0.2500 0.2500 0.2500
0.5000 0.5000 0.5000
```

Output
The energy comes out at -2.348 eV per atom. Its space group is F-43m.


LuNbNO: optimized geometry, GGA-PBE.

Cell and atoms, written as POSCAR:
```
LuNbNO
1.0
3.4071 0.0000 0.0000
0.0000 5.9468 0.0000
0.0000 0.0000 5.6889
Lu Nb N O
2 2 2 2
direct
0.0000 0.1681 0.0000
0.0000 0.8319 0.5000
0.5000 0.3888 0.4306
0.5000 0.6112 0.9306
0.0000 0.1948 0.3984
0.0000 0.8052 0.8984
0.5000 0.2639 0.7978
0.5000 0.7361 0.2978
```

Output
The energy comes out at -8.626 eV per atom. The value obtained for the relative energy among the computed polymorphs is 2.86 kcal/mol of atoms. Its space group is Pmc2_1. The magnetic moment is 0.00 μB per formula unit.


KLiZrSe3: optimized geometry, GGA-PBE.

Cell and atoms, written as POSCAR:
```
KLiZrSe3
1.0
8.8373 0.0000 0.0000
0.0000 3.9840 0.0000
-3.0240 0.0000 8.9563
K Li Zr Se
2 2 2 6
direct
0.2197 0.2500 0.2606
0.7803 0.7500 0.7394
0.0767 0.2500 0.6014
0.9233 0.7500 0.3986
0.3196 0.7500 0.8427
0.6804 0.2500 0.1573
0.1236 0.2500 0.8762
0.2228 0.7500 0.5499
0.4631 0.7500 0.1533
0.5369 0.2500 0.8467
0.7772 0.2500 0.4501
0.8764 0.7500 0.1238
```

Output
The energy comes out at -5.014 eV per atom. The value obtained for the relative energy among the computed polymorphs is 0.02 kcal/mol of atoms. Its space group is P2_1/m. The magnetic moment is 0.00 μB per formula unit.


DyF: optimized geometry, GGA-PBE.

Cell and atoms, written as POSCAR:
```
DyF
1.0
0.0000 2.7165 2.7165
2.7165 0.0000 2.7165
2.7165 2.7165 0.0000
Dy F
1 1
direct
0.0000 0.0000 0.0000
0.7500 0.7500 0.7500
```

Output
The energy comes out at -5.512 eV per atom. The value obtained for the relative energy among the computed polymorphs is 0.00 kcal/mol of atoms. Its space group is F-43m. The magnetic moment is 0.02 μB per formula unit.


Gd2DyCu4Sn4: optimized geometry, GGA-PBE.

Cell and atoms, written as POSCAR:
```
Gd2DyCu4Sn4
1.0
-2.2403 3.4740 7.3800
2.2403 -3.4740 7.3800
2.2403 3.4740 -7.3800
Gd Dy Cu Sn
2 1 4 4
direct
0.1312 0.1312 0.0000
0.8688 0.8688 0.0000
0.5000 0.0000 0.5000
0.1415 0.3295 0.8120
0.4825 0.6705 0.8120
0.5175 0.3295 0.1880
0.8585 0.6705 0.1880
0.2032 0.5000 0.7032
0.2842 0.7842 0.5000
0.7158 0.2158 0.5000
0.7968 0.5000 0.2968
```

Output
The energy comes out at -4.598 eV per atom. Its space group is Immm. The magnetic moment is 0.00 μB per formula unit.


MgTaSiTc: optimized geometry, GGA-PBE.

Cell and atoms, written as POSCAR:
```
MgTaSiTc
1.0
0.0000 3.1226 3.1226
3.1226 0.0000 3.1226
3.1226 3.1226 0.0000
Mg Ta Si Tc
1 1 1 1
direct
0.0000 0.0000 0.0000
0.7500 0.7500 0.7500
0.2500 0.2500 0.2500
0.5000 0.5000 0.5000
```

Output
The energy comes out at -7.452 eV per atom. The value obtained for the relative energy among the computed polymorphs is 0.00 kcal/mol of atoms. Its space group is F-43m. The magnetic moment is 0.00 μB per formula unit.


NaLuNbIr: optimized geometry, GGA-PBE.

Cell and atoms, written as POSCAR:
```
NaLuNbIr
1.0
0.0000 3.3517 3.3517
3.3517 0.0000 3.3517
3.3517 3.3517 0.0000
Na Lu Nb Ir
1 1 1 1
direct
0.0000 0.0000 0.0000
0.7500 0.7500 0.7500
0.2500 0.2500 0.2500
0.5000 0.5000 0.5000
```

Output
The energy comes out at -6.158 eV per atom. The value obtained for the relative energy among the computed polymorphs is 0.00 kcal/mol of atoms. Its space group is F-43m. The magnetic moment is 0.00 μB per formula unit.


CsReAs: optimized geometry, GGA-PBE.

Cell and atoms, written as POSCAR:
```
CsReAs
1.0
0.0000 3.7062 3.7062
3.7062 0.0000 3.7062
3.7062 3.7062 0.0000
Cs Re As
1 1 1
direct
0.0000 0.0000 0.0000
0.5000 0.5000 0.5000
0.2500 0.2500 0.2500
```

Output
The energy comes out at -4.109 eV per atom. The value obtained for the relative energy among the computed polymorphs is 6.70 kcal/mol of atoms. Its space group is F-43m. The magnetic moment is 4.91 μB per formula unit.


Li3Ho3SiSn2: optimized geometry, GGA-PBE.

Cell and atoms, written as POSCAR:
```
Li3Ho3SiSn2
1.0
7.2290 0.0000 0.0000
-3.6145 6.2605 0.0000
0.0000 0.0000 4.4427
Li Ho Si Sn
3 3 1 2
direct
0.0000 0.7757 0.0000
0.2243 0.2243 0.0000
0.7757 0.0000 0.0000
0.0000 0.4077 0.5000
0.4077 0.0000 0.5000
0.5923 0.5923 0.5000
0.0000 0.0000 0.5000
0.3333 0.6667 0.0000
0.6667 0.3333 0.0000
```

Output
The energy comes out at -4.245 eV per atom. Its space group is P-62m. The magnetic moment is 0.00 μB per formula unit.


Question: Among the records above, which one has the highest energy?
Answer: CdInGa2